Record 1
Compound: CoAg2Au
Source: Alexandria via LeMat-Bulk
Functional: PBE
Structure: relaxed

Summary:
ΔE to the lowest computed polymorph, meV/atom: 48
Energy relative to the elements, meV/atom: 248
Total moment, μB/cell: 3.34
V, Å³/cell: 130
N(E_F), states/eV/atom: 1.173

Cell: 9.5886 2.7931 4.9312 Å, 90.00 100.16 90.00°
With the nearest neighbours (Å) after each atom.
Space group C2/m (No. 12)
Unique sites:
Co1 0.0000 0.0000 0.0000  2 Co 2.79, 6 Ag 2.80-2.92, 4 Au 2.83
Ag1 0.2430 0.5000 0.2412  6 Ag 2.78-2.89, 3 Co 2.80-2.92, 3 Au 2.85-2.92
Au1 0.0000 0.5000 0.5000  2 Au 2.79, 4 Co 2.83, 6 Ag 2.85-2.92

---

Record 2
Compound: ZnRe2Cl
Source: Alexandria via LeMat-Bulk
Functional: PBE
Structure: relaxed

Summary:
Energy relative to the elements, uncorrected, eV/atom: 0.764
ΔE to the lowest computed polymorph, meV/atom: 691
Total moment, μB/cell: 0.00
V, Å³/cell: 132
N(E_F), states/eV/atom: 0.763

Cell: 9.5581 2.7793 4.9979 Å, 90.00 94.99 90.00°
With the nearest neighbours (Å) after each atom.
Space group Cm (No. 8)
Unique sites:
Zn1 0.0000 0.0000 0.0000  1 Cl 2.39
Re1 0.2430 0.5000 0.6473  2 Cl 2.39, 1 Re 2.45
Re2 0.4931 0.0000 0.4902  1 Re 2.45
Cl1 0.2512 0.0000 0.0365  2 Re 2.39, 1 Zn 2.39

---

Record 3
Compound: Pm3Al8Pd3
Source: Alexandria via LeMat-Bulk
Functional: PBE
Structure: relaxed

Summary:
ΔE to the lowest computed polymorph, meV/atom: 0
Energy relative to the elements, meV/atom: -686
Total moment, μB/cell: 0.00
V, Å³/cell: 540
N(E_F), states/eV/atom: 0.423

Cell: 15.9313 4.5064 9.0905 Å, 90.00 124.10 90.00°
With the nearest neighbours (Å) after each atom.
Space group C2/m (No. 12)
Unique sites:
Pm1 0.0000 0.0000 0.0000  8 Al 3.18-3.25, 4 Pd 3.31
Pm2 0.2134 0.5000 0.6989  11 Al 3.06-3.34, 3 Pd 3.24-3.39
Al1 0.0063 0.5000 0.6749  3 Pd 2.55-2.73, 1 Al 2.75
Al2 0.1325 0.0000 0.4221  1 Pd 2.58, 2 Al 2.69
Al3 0.1490 0.0000 0.8616  4 Pd 2.57-2.77
Al4 0.1508 0.5000 0.2813  1 Pd 2.56, 3 Al 2.69-2.75
Pd1 0.0000 0.0000 0.5000  8 Al 2.58-2.77
Pd2 0.1526 0.5000 0.0019  5 Al 2.55-2.67